Entry 1:
# Ho2AgPd9

A geometry-optimized Ho2AgPd9 structure (PBE, Alexandria via LeMat-Bulk).

## Properties
The density of states at the Fermi level comes out at 12.19 states/eV per cell. The calculation puts the formation energy at -7.0 eV per formula unit. The magnetization comes out at 0.00 Bohr magnetons per cell. The space group is No. 123.

Cell: 4.078 4.078 12.243 Å, 90.00 90.00 90.00°
Atoms (fractional coordinates):
Ho 0.000 0.000 0.171
Ho 0.000 0.000 0.829
Ag 0.000 0.000 0.500
Pd 0.000 0.500 0.000
Pd 0.000 0.500 0.338
Pd 0.000 0.500 0.662
Pd 0.500 0.000 0.000
Pd 0.500 0.000 0.338
Pd 0.500 0.000 0.662
Pd 0.500 0.500 0.169
Pd 0.500 0.500 0.500
Pd 0.500 0.500 0.831

=====

Entry 2:
# KVCu2Cl8

A geometry-optimized KVCu2Cl8 structure (PBE, Alexandria via LeMat-Bulk).

## Properties
The density of states at the Fermi level comes out at 5.62 states/eV per cell. The magnetization comes out at 0.03 Bohr magnetons per cell. As for the energy relative to the elements, uncorrected: -23.1 kcal/mol of atoms. The space group is No. 2.

Cell: 6.076 6.840 8.358 Å, 70.84 82.35 85.76°
Atoms (fractional coordinates):
K 0.000 0.000 0.000
V 0.000 0.500 0.500
Cu 0.471 0.528 0.816
Cu 0.529 0.472 0.184
Cl 0.106 0.488 0.766
Cl 0.153 0.813 0.377
Cl 0.336 0.332 0.443
Cl 0.484 0.764 0.959
Cl 0.516 0.236 0.041
Cl 0.664 0.668 0.557
Cl 0.847 0.187 0.623
Cl 0.894 0.512 0.234

=====

Entry 3:
# Li2AgF6

A geometry-optimized Li2AgF6 structure (PBE, Alexandria via LeMat-Bulk).

## Properties
The density of states at the Fermi level comes out at 8.55 states/eV per cell. The magnetization comes out at 2.04 Bohr magnetons per cell. As for the energy relative to the elements, uncorrected: -41.2 kcal/mol of atoms. The space group is No. 136.

Cell: 4.785 4.785 9.287 Å, 90.00 90.00 90.00°
Atoms (fractional coordinates):
Li 0.000 0.000 0.162
Li 0.000 0.000 0.838
Li 0.500 0.500 0.338
Li 0.500 0.500 0.662
Ag 0.000 0.000 0.500
Ag 0.500 0.500 0.000
F 0.193 0.193 0.335
F 0.193 0.193 0.665
F 0.194 0.194 0.000
F 0.306 0.694 0.500
F 0.307 0.693 0.165
F 0.307 0.693 0.835
F 0.693 0.307 0.165
F 0.693 0.307 0.835
F 0.694 0.306 0.500
F 0.806 0.806 0.000
F 0.807 0.807 0.335
F 0.807 0.807 0.665

=====

Entry 4:
# TlCdSn2Hg

A geometry-optimized TlCdSn2Hg structure (PBE, Alexandria via LeMat-Bulk).

## Properties
The density of states at the Fermi level comes out at 4.49 states/eV per cell. The calculation puts the formation energy at 0.3 eV per formula unit. The magnetization comes out at 0.00 Bohr magnetons per cell. The space group is No. 11.

Cell: 7.334 4.491 9.303 Å, 90.00 110.54 90.00°
Atoms (fractional coordinates):
Tl 0.057 0.250 0.358
Tl 0.943 0.750 0.642
Cd 0.348 0.750 0.204
Cd 0.652 0.250 0.796
Sn 0.108 0.250 0.945
Sn 0.395 0.750 0.553
Sn 0.605 0.250 0.447
Sn 0.892 0.750 0.055
Hg 0.390 0.750 0.879
Hg 0.610 0.250 0.121

=====

Entry 5:
# SnSeN2

A geometry-optimized SnSeN2 structure (PBE, Alexandria via LeMat-Bulk).

## Properties
The magnetization comes out at 0.00 Bohr magnetons per cell. As for the energy relative to the elements, uncorrected: -2.2 kcal/mol of atoms. The space group is No. 1.

Cell: 3.660 3.669 9.333 Å, 97.51 97.91 90.01°
Atoms (fractional coordinates):
Sn 0.000 0.000 0.000
Se 0.449 0.453 0.860
N 0.621 0.649 0.391
N 0.758 0.782 0.499

=====

Entry 6:
# K3Ag3As2

A geometry-optimized K3Ag3As2 structure (PBE, Alexandria via LeMat-Bulk).

## Properties
The calculation puts the formation energy at -2.9 eV per formula unit. The magnetization comes out at 0.00 Bohr magnetons per cell. The space group is No. 166.

Cell: 7.971 7.971 7.971 Å, 44.75 44.75 44.75°
Atoms (fractional coordinates):
K 0.000 0.000 0.000
K 0.409 0.409 0.409
K 0.591 0.591 0.591
Ag 0.000 0.000 0.500
Ag 0.000 0.500 0.000
Ag 0.500 0.000 0.000
As 0.255 0.255 0.255
As 0.745 0.745 0.745

=====

Entry 7:
# Li4CaRh

A geometry-optimized Li4CaRh structure (PBE, Alexandria via LeMat-Bulk).

## Properties
The density of states at the Fermi level comes out at 3.00 states/eV per cell. The calculation puts the formation energy at -0.6 eV per formula unit. The magnetization comes out at 0.00 Bohr magnetons per cell. The space group is No. 51.

Cell: 6.349 4.725 7.667 Å, 90.00 90.00 90.00°
Atoms (fractional coordinates):
Li 0.000 0.000 0.000
Li 0.057 0.500 0.312
Li 0.250 0.500 0.002
Li 0.443 0.500 0.312
Li 0.500 0.000 0.000
Li 0.557 0.500 0.688
Li 0.750 0.500 0.998
Li 0.943 0.500 0.688
Ca 0.250 0.000 0.619
Ca 0.750 0.000 0.381
Rh 0.250 0.000 0.258
Rh 0.750 0.000 0.742

=====

Entry 8:
# BaGaAsBr2

A geometry-optimized BaGaAsBr2 structure (PBE, Alexandria via LeMat-Bulk).

## Properties
The density of states at the Fermi level comes out at 4.02 states/eV per cell. The magnetization comes out at 0.50 Bohr magnetons per cell. As for the energy relative to the elements, uncorrected: -19.5 kcal/mol of atoms. The space group is No. 123.

Cell: 5.455 5.455 5.083 Å, 90.00 90.00 90.00°
Atoms (fractional coordinates):
Ba 0.000 0.000 0.000
Ga 0.500 0.500 0.500
As 0.500 0.500 0.000
Br 0.000 0.500 0.500
Br 0.500 0.000 0.500

=====

Entry 9:
# KRe3As

A geometry-optimized KRe3As structure (PBE, Alexandria via LeMat-Bulk).

## Properties
The density of states at the Fermi level comes out at 6.81 states/eV per cell. The calculation puts the formation energy at 9.6 eV per formula unit. The magnetization comes out at 0.21 Bohr magnetons per cell. The space group is No. 221.

Cell: 4.700 4.700 4.700 Å, 90.00 90.00 90.00°
Atoms (fractional coordinates):
K 0.000 0.000 0.000
Re 0.000 0.500 0.500
Re 0.500 0.000 0.500
Re 0.500 0.500 0.000
As 0.500 0.500 0.500

=====

Entry 10:
# TaAl3C

A geometry-optimized TaAl3C structure (PBE, Alexandria via LeMat-Bulk).

## Properties
The density of states at the Fermi level comes out at 6.04 states/eV per cell. The calculation puts the formation energy at 2.7 eV per formula unit. The magnetization comes out at 0.34 Bohr magnetons per cell. The space group is No. 221.

Cell: 4.133 4.133 4.133 Å, 90.00 90.00 90.00°
Atoms (fractional coordinates):
Ta 0.000 0.000 0.000
Al 0.000 0.500 0.500
Al 0.500 0.000 0.500
Al 0.500 0.500 0.000
C 0.500 0.500 0.500

=====

Entry 11:
# Ce3Ag5S12

A geometry-optimized Ce3Ag5S12 structure (PBE, Alexandria via LeMat-Bulk).

## Properties
The density of states at the Fermi level comes out at 59.94 states/eV per cell. The magnetization comes out at 0.00 Bohr magnetons per cell. As for the energy relative to the elements, uncorrected: -14.7 kcal/mol of atoms. The space group is No. 230.

Cell: 13.317 13.317 13.317 Å, 109.47 109.47 109.47°
Atoms (fractional coordinates):
Ce 0.125 0.250 0.375
Ce 0.125 0.375 0.750
Ce 0.250 0.375 0.125
Ce 0.250 0.875 0.625
Ce 0.375 0.125 0.250
Ce 0.375 0.750 0.125
Ce 0.625 0.250 0.875
Ce 0.625 0.875 0.750
Ce 0.750 0.125 0.375
Ce 0.750 0.625 0.875
Ce 0.875 0.625 0.250
Ce 0.875 0.750 0.625
Ag 0.000 0.000 0.000
Ag 0.000 0.000 0.500
Ag 0.000 0.500 0.000
Ag 0.000 0.500 0.500
Ag 0.125 0.750 0.875
Ag 0.125 0.875 0.250
Ag 0.250 0.125 0.875
Ag 0.250 0.625 0.375
Ag 0.375 0.250 0.625
Ag 0.375 0.625 0.750
Ag 0.500 0.000 0.000
Ag 0.500 0.000 0.500
Ag 0.500 0.500 0.000
Ag 0.500 0.500 0.500
Ag 0.625 0.375 0.250
Ag 0.625 0.750 0.375
Ag 0.750 0.375 0.625
Ag 0.750 0.875 0.125
Ag 0.875 0.125 0.750
Ag 0.875 0.250 0.125
S 0.048 0.217 0.133
S 0.048 0.331 0.915
S 0.084 0.717 0.669
S 0.084 0.867 0.415
S 0.085 0.633 0.416
S 0.085 0.952 0.669
S 0.133 0.048 0.217
S 0.133 0.585 0.916
S 0.169 0.217 0.584
S 0.169 0.452 0.585
S 0.217 0.133 0.048
S 0.217 0.584 0.169
S 0.283 0.331 0.916
S 0.283 0.452 0.367
S 0.331 0.915 0.048
S 0.331 0.916 0.283
S 0.367 0.283 0.452
S 0.367 0.584 0.915
S 0.415 0.084 0.867
S 0.415 0.831 0.548
S 0.416 0.085 0.633
S 0.416 0.831 0.783
S 0.452 0.367 0.283
S 0.452 0.585 0.169
S 0.548 0.415 0.831
S 0.548 0.633 0.717
S 0.584 0.169 0.217
S 0.584 0.915 0.367
S 0.585 0.169 0.452
S 0.585 0.916 0.133
S 0.633 0.416 0.085
S 0.633 0.717 0.548
S 0.669 0.084 0.717
S 0.669 0.085 0.952
S 0.717 0.548 0.633
S 0.717 0.669 0.084
S 0.783 0.416 0.831
S 0.783 0.867 0.952
S 0.831 0.548 0.415
S 0.831 0.783 0.416
S 0.867 0.415 0.084
S 0.867 0.952 0.783
S 0.915 0.048 0.331
S 0.915 0.367 0.584
S 0.916 0.133 0.585
S 0.916 0.283 0.331
S 0.952 0.669 0.085
S 0.952 0.783 0.867

=====

Entry 12:
# V2Ga2Se7

A geometry-optimized V2Ga2Se7 structure (PBE, Alexandria via LeMat-Bulk).

## Properties
The density of states at the Fermi level comes out at 4.72 states/eV per cell. The magnetization comes out at 3.99 Bohr magnetons per cell. As for the energy relative to the elements, uncorrected: -9.3 kcal/mol of atoms. The space group is No. 12.

Cell: 6.825 6.825 6.713 Å, 101.50 101.50 111.83°
Atoms (fractional coordinates):
V 0.182 0.818 0.000
V 0.818 0.182 0.000
Ga 0.240 0.240 0.642
Ga 0.760 0.760 0.358
Se 0.027 0.411 0.786
Se 0.144 0.144 0.232
Se 0.411 0.027 0.786
Se 0.500 0.500 0.500
Se 0.589 0.973 0.214
Se 0.856 0.856 0.768
Se 0.973 0.589 0.214

=====

Entry 13:
# KNa2Y

A geometry-optimized KNa2Y structure (PBE, Alexandria via LeMat-Bulk).

## Properties
The density of states at the Fermi level comes out at 4.82 states/eV per cell. The calculation puts the formation energy at 1.8 eV per formula unit. The magnetization comes out at 0.00 Bohr magnetons per cell. The space group is No. 225.

Cell: 6.138 6.138 6.138 Å, 60.00 60.00 60.00°
Atoms (fractional coordinates):
K 0.000 0.000 0.000
Na 0.250 0.250 0.250
Na 0.750 0.750 0.750
Y 0.500 0.500 0.500